No. 1
Computed, not measured: a relaxed structure of NdMnGe3Os at the PBE level of DFT.

Lattice parameters (Å, degrees): 6.694 6.694 5.714 90.00 90.00 109.88
Atoms (fractional coordinates):
Nd1 0.249 0.751 0.750
Nd2 0.751 0.249 0.250
Mn1 0.457 0.543 0.250
Mn2 0.543 0.457 0.750
Ge1 0.257 0.743 0.250
Ge2 0.260 0.260 0.000
Ge3 0.260 0.260 0.500
Ge4 0.740 0.740 0.000
Ge5 0.740 0.740 0.500
Ge6 0.743 0.257 0.750
Os1 0.044 0.956 0.250
Os2 0.956 0.044 0.750

Output
The raw total energy comes out at -6.609 eV/atom. The calculation puts the formation energy at -0.11 eV per atom. The theoretical density is 8.4 g/cm3.



No. 2
Computed, not measured: a relaxed structure of TbNdZr at the PBE level of DFT.

Lattice parameters (Å, degrees): 3.866 3.866 12.151 90.00 90.00 90.00
Atoms (fractional coordinates):
Tb1 0.250 0.250 0.091
Tb2 0.750 0.750 0.909
Nd1 0.250 0.250 0.715
Nd2 0.750 0.750 0.285
Zr1 0.250 0.250 0.448
Zr2 0.750 0.750 0.552

Output
The raw total energy comes out at -5.867 eV/atom. The relative energy among the computed polymorphs is 9 meV per atom. The calculation puts the formation energy at 0.11 eV per atom. The theoretical density is 7.2 g/cm3.



No. 3
Computed, not measured: a relaxed structure of TaCoPt2 at the PBE level of DFT.

Lattice parameters (Å, degrees): 4.429 4.429 4.429 60.00 60.00 60.00
Atoms (fractional coordinates):
Ta1 0.000 0.000 0.000
Co1 0.500 0.500 0.500
Pt1 0.250 0.250 0.250
Pt2 0.750 0.750 0.750

Output
The raw total energy comes out at -8.033 eV/atom. The relative energy among the computed polymorphs is 323 meV per atom. The calculation puts the formation energy at -0.27 eV per atom. The theoretical density is 17.0 g/cm3.



No. 4
Computed, not measured: a relaxed structure of MgIn2AgTe4 at the PBE level of DFT.

Lattice parameters (Å, degrees): 8.037 7.860 6.786 66.09 63.39 50.52
Atoms (fractional coordinates):
Mg1 0.000 0.000 0.000
In1 0.247 0.247 0.253
In2 0.747 0.747 0.753
Ag1 0.499 0.499 0.501
Te1 0.137 0.637 0.363
Te2 0.376 0.876 0.624
Te3 0.637 0.137 0.863
Te4 0.876 0.376 0.124

Output
The uncorrected formation energy is -381 meV/atom. The raw total energy comes out at -3.192 eV/atom. The theoretical density is 5.0 g/cm3.



No. 5
Computed, not measured: a relaxed structure of NdEr2Tl at the PBE level of DFT.

Lattice parameters (Å, degrees): 6.668 6.668 8.698 90.00 90.00 139.44
Atoms (fractional coordinates):
Nd1 0.057 0.943 0.750
Nd2 0.943 0.057 0.250
Er1 0.365 0.635 0.552
Er2 0.365 0.635 0.948
Er3 0.635 0.365 0.052
Er4 0.635 0.365 0.448
Tl1 0.233 0.767 0.250
Tl2 0.767 0.233 0.750

Output
The raw total energy comes out at -4.168 eV/atom. The relative energy among the computed polymorphs is 74 meV per atom. The calculation puts the formation energy at -0.10 eV per atom. The theoretical density is 9.0 g/cm3.



No. 6
Computed, not measured: a relaxed structure of Pm6Sn2SbTe3 at the PBE level of DFT.

Lattice parameters (Å, degrees): 10.051 10.051 9.002 102.97 102.97 25.84
Atoms (fractional coordinates):
Pm1 0.003 0.003 0.246
Pm2 0.331 0.331 0.422
Pm3 0.335 0.335 0.909
Pm4 0.665 0.665 0.091
Pm5 0.669 0.669 0.578
Pm6 0.997 0.997 0.754
Sn1 0.167 0.167 0.333
Sn2 0.833 0.833 0.667
Sb1 0.500 0.500 0.000
Te1 0.166 0.166 0.834
Te2 0.500 0.500 0.500
Te3 0.834 0.834 0.166

Output
The uncorrected formation energy is -1203 meV/atom. The raw total energy comes out at -5.375 eV/atom. The theoretical density is 6.9 g/cm3.



Number 1: DOS(E_F) 2.86 states/eV/f.u.. Number 2: DOS(E_F) 4.32 states/eV/f.u.. Number 3: DOS(E_F) 6.90 states/eV/f.u.. Number 4: DOS(E_F) 2.06 states/eV/f.u.. Number 5: DOS(E_F) 4.90 states/eV/f.u.. Number 6: DOS(E_F) 2.19 states/eV/f.u..